Here is Zr2TcPd after structural relaxation from OQMD via LeMat-Bulk. Energies are from PBE.

a = 4.660 Å, b = 4.660 Å, c = 4.660 Å
α = 60.00°, β = 60.00°, γ = 60.00°
Fractional coordinates of all 4 atoms:
Zr: 0.000 0.000 0.000
Zr: 0.250 0.250 0.250
Tc: 0.500 0.500 0.500
Pd: 0.750 0.750 0.750

Size of the total moment, μB/cell: 0.03
E above lowest polymorph, kcal/mol of atoms: 10.798
Energy of formation, meV per atom: -110
V, Å³/atom: 17.9


Here is GdBeAsO after structural relaxation from OQMD via LeMat-Bulk. Energies are from PBE.

a = 4.196 Å, b = 6.024 Å, c = 5.592 Å
α = 90.00°, β = 90.00°, γ = 90.00°
Fractional coordinates of all 8 atoms:
Gd: 0.000 0.248 0.000
Gd: 0.000 0.752 0.500
Be: 0.500 0.105 0.633
Be: 0.500 0.895 0.133
As: 0.000 0.270 0.508
As: 0.000 0.730 0.008
O: 0.500 0.108 0.941
O: 0.500 0.892 0.441

Size of the total moment, μB/cell: 0.00
E above lowest polymorph, kcal/mol of atoms: 1.019
V, Å³/atom: 17.7


Here is BaZnCdAu2 after structural relaxation from OQMD via LeMat-Bulk. Energies are from PBE.

a = 6.906 Å, b = 6.906 Å, c = 6.906 Å
α = 141.64°, β = 141.64°, γ = 55.37°
Fractional coordinates of all 5 atoms:
Ba: 0.000 0.000 0.000
Zn: 0.250 0.750 0.500
Cd: 0.750 0.250 0.500
Au: 0.384 0.384 0.000
Au: 0.616 0.616 0.000

Final energy, eV per atom: -2.614
V, Å³/atom: 25.2


Here is LuMgRe after structural relaxation from OQMD via LeMat-Bulk. Energies are from PBE.

a = 4.620 Å, b = 4.620 Å, c = 4.620 Å
α = 60.00°, β = 60.00°, γ = 60.00°
Fractional coordinates of all 3 atoms:
Lu: 0.000 0.000 0.000
Mg: 0.500 0.500 0.500
Re: 0.250 0.250 0.250

Size of the total moment, μB/cell: 0.85
E above lowest polymorph, kcal/mol of atoms: 0.000
V, Å³/atom: 23.2


Here is Cu15Ge after structural relaxation from OQMD via LeMat-Bulk. Energies are from PBE.

a = 7.243 Å, b = 42.421 Å, c = 3.621 Å
α = 90.00°, β = 90.00°, γ = 90.00°
Fractional coordinates of all 64 atoms:
Cu: 0.120 0.178 0.000
Cu: 0.120 0.822 0.500
Cu: 0.123 0.221 0.500
Cu: 0.123 0.779 0.000
Cu: 0.124 0.307 0.500
Cu: 0.124 0.693 0.000
Cu: 0.125 0.264 0.000
Cu: 0.125 0.350 0.000
Cu: 0.125 0.393 0.500
Cu: 0.125 0.436 0.000
Cu: 0.125 0.479 0.500
Cu: 0.125 0.521 0.000
Cu: 0.125 0.564 0.500
Cu: 0.125 0.607 0.000
Cu: 0.125 0.650 0.500
Cu: 0.125 0.736 0.500
Cu: 0.373 0.265 0.500
Cu: 0.373 0.735 0.000
Cu: 0.375 0.307 0.000
Cu: 0.375 0.350 0.500
Cu: 0.375 0.393 0.000
Cu: 0.375 0.436 0.500
Cu: 0.375 0.479 0.000
Cu: 0.375 0.521 0.500
Cu: 0.375 0.564 0.000
Cu: 0.375 0.607 0.500
Cu: 0.375 0.650 0.000
Cu: 0.375 0.693 0.500
Cu: 0.376 0.222 0.000
Cu: 0.376 0.778 0.500
Cu: 0.624 0.222 0.500
Cu: 0.624 0.778 0.000
Cu: 0.625 0.307 0.500
Cu: 0.625 0.350 0.000
Cu: 0.625 0.393 0.500
Cu: 0.625 0.436 0.000
Cu: 0.625 0.479 0.500
Cu: 0.625 0.521 0.000
Cu: 0.625 0.564 0.500
Cu: 0.625 0.607 0.000
Cu: 0.625 0.650 0.500
Cu: 0.625 0.693 0.000
Cu: 0.627 0.265 0.000
Cu: 0.627 0.735 0.500
Cu: 0.875 0.264 0.500
Cu: 0.875 0.350 0.500
Cu: 0.875 0.393 0.000
Cu: 0.875 0.436 0.500
Cu: 0.875 0.479 0.000
Cu: 0.875 0.521 0.500
Cu: 0.875 0.564 0.000
Cu: 0.875 0.607 0.500
Cu: 0.875 0.650 0.000
Cu: 0.875 0.736 0.000
Cu: 0.876 0.307 0.000
Cu: 0.876 0.693 0.500
Cu: 0.877 0.221 0.000
Cu: 0.877 0.779 0.500
Cu: 0.880 0.178 0.500
Cu: 0.880 0.822 0.000
Ge: 0.359 0.175 0.500
Ge: 0.359 0.825 0.000
Ge: 0.641 0.175 0.000
Ge: 0.641 0.825 0.500

E above lowest polymorph, kcal/mol of atoms: 0.106
V, Å³/atom: 17.4


Here is ErAgSnSe3 after structural relaxation from OQMD via LeMat-Bulk. Energies are from PBE.

a = 12.182 Å, b = 4.187 Å, c = 12.035 Å
α = 90.00°, β = 90.00°, γ = 90.00°
Fractional coordinates of all 24 atoms:
Er: 0.026 0.250 0.174
Er: 0.474 0.750 0.674
Er: 0.526 0.250 0.326
Er: 0.974 0.750 0.826
Ag: 0.237 0.750 0.320
Ag: 0.263 0.250 0.820
Ag: 0.737 0.750 0.180
Ag: 0.763 0.250 0.680
Sn: 0.171 0.250 0.516
Sn: 0.329 0.750 0.016
Sn: 0.671 0.250 0.984
Sn: 0.829 0.750 0.484
Se: 0.023 0.750 0.348
Se: 0.085 0.250 0.935
Se: 0.240 0.750 0.672
Se: 0.260 0.250 0.172
Se: 0.415 0.750 0.435
Se: 0.477 0.250 0.848
Se: 0.523 0.750 0.152
Se: 0.585 0.250 0.565
Se: 0.740 0.750 0.828
Se: 0.760 0.250 0.328
Se: 0.915 0.750 0.065
Se: 0.977 0.250 0.652

Size of the total moment, μB/cell: 0.01
E above lowest polymorph, kcal/mol of atoms: 0.586
V, Å³/atom: 25.6


Here is CsNaNd after structural relaxation from OQMD via LeMat-Bulk. Energies are from PBE.

a = 6.328 Å, b = 6.328 Å, c = 6.328 Å
α = 60.00°, β = 60.00°, γ = 60.00°
Fractional coordinates of all 3 atoms:
Cs: 0.000 0.000 0.000
Na: 0.500 0.500 0.500
Nd: 0.250 0.250 0.250

Size of the total moment, μB/cell: 1.38
Final energy, eV per atom: -1.375
V, Å³/atom: 59.7


Here is PrHfGe after structural relaxation from OQMD via LeMat-Bulk. Energies are from PBE.

a = 4.972 Å, b = 4.972 Å, c = 4.972 Å
α = 60.00°, β = 60.00°, γ = 60.00°
Fractional coordinates of all 3 atoms:
Pr: 0.000 0.000 0.000
Hf: 0.250 0.250 0.250
Ge: 0.750 0.750 0.750

Size of the total moment, μB/cell: 1.49
E above lowest polymorph, kcal/mol of atoms: 23.160
V, Å³/atom: 29.0


Here is LiGaPt2 after structural relaxation from OQMD via LeMat-Bulk. Energies are from PBE.

a = 4.288 Å, b = 4.288 Å, c = 7.763 Å
α = 90.00°, β = 90.00°, γ = 120.00°
Fractional coordinates of all 8 atoms:
Li: 0.000 0.000 0.250
Li: 0.000 0.000 0.750
Ga: 0.333 0.667 0.250
Ga: 0.667 0.333 0.750
Pt: 0.333 0.667 0.580
Pt: 0.333 0.667 0.920
Pt: 0.667 0.333 0.080
Pt: 0.667 0.333 0.420

Size of the total moment, μB/cell: 0.02
Final energy, eV per atom: -4.692
V, Å³/atom: 15.5


Here is NdY2Ge4Pd4 after structural relaxation from OQMD via LeMat-Bulk. Energies are from PBE.

a = 8.173 Å, b = 8.173 Å, c = 8.173 Å
α = 150.24°, β = 127.92°, γ = 61.14°
Fractional coordinates of all 11 atoms:
Nd: 0.000 0.000 0.000
Y: 0.374 0.874 0.500
Y: 0.626 0.126 0.500
Ge: 0.219 0.219 0.000
Ge: 0.315 0.500 0.815
Ge: 0.685 0.500 0.185
Ge: 0.781 0.781 0.000
Pd: 0.025 0.324 0.701
Pd: 0.377 0.676 0.701
Pd: 0.623 0.324 0.299
Pd: 0.975 0.676 0.299

Size of the total moment, μB/cell: 0.00
Final energy, eV per atom: -6.100
V, Å³/atom: 19.3


Here is SnBOs after structural relaxation from OQMD via LeMat-Bulk. Energies are from PBE.

a = 3.965 Å, b = 3.965 Å, c = 3.965 Å
α = 60.00°, β = 60.00°, γ = 60.00°
Fractional coordinates of all 3 atoms:
Sn: 0.000 0.000 0.000
B: 0.750 0.750 0.750
Os: 0.500 0.500 0.500

Size of the total moment, μB/cell: 0.00
E above lowest polymorph, kcal/mol of atoms: 0.000
V, Å³/atom: 14.7


Here is ZrF after structural relaxation from OQMD via LeMat-Bulk. Energies are from PBE.

a = 2.958 Å, b = 2.958 Å, c = 3.905 Å
α = 90.00°, β = 90.00°, γ = 120.00°
Fractional coordinates of all 2 atoms:
Zr: 0.000 0.000 0.000
F: 0.333 0.667 0.500

Size of the total moment, μB/cell: 0.45
E above lowest polymorph, kcal/mol of atoms: 3.488
V, Å³/atom: 14.8


Here is MgSnTeW after structural relaxation from OQMD via LeMat-Bulk. Energies are from PBE.

a = 4.973 Å, b = 4.973 Å, c = 4.973 Å
α = 60.00°, β = 60.00°, γ = 60.00°
Fractional coordinates of all 4 atoms:
Mg: 0.000 0.000 0.000
Sn: 0.500 0.500 0.500
Te: 0.250 0.250 0.250
W: 0.750 0.750 0.750

Size of the total moment, μB/cell: 1.44
E above lowest polymorph, kcal/mol of atoms: 8.645
V, Å³/atom: 21.7


Here is LuBeCuBi after structural relaxation from OQMD via LeMat-Bulk. Energies are from PBE.

a = 4.832 Å, b = 4.832 Å, c = 4.832 Å
α = 60.00°, β = 60.00°, γ = 60.00°
Fractional coordinates of all 4 atoms:
Lu: 0.000 0.000 0.000
Be: 0.250 0.250 0.250
Cu: 0.500 0.500 0.500
Bi: 0.750 0.750 0.750

Size of the total moment, μB/cell: 0.00
E above lowest polymorph, kcal/mol of atoms: 3.712
V, Å³/atom: 19.9


Here is PaGaRe after structural relaxation from OQMD via LeMat-Bulk. Energies are from PBE.

a = 4.471 Å, b = 4.471 Å, c = 4.471 Å
α = 60.00°, β = 60.00°, γ = 60.00°
Fractional coordinates of all 3 atoms:
Pa: 0.000 0.000 0.000
Ga: 0.250 0.250 0.250
Re: 0.500 0.500 0.500

Size of the total moment, μB/cell: 0.00
Final energy, eV per atom: -7.877
V, Å³/atom: 21.1


Here is BaCdSn2Pt after structural relaxation from OQMD via LeMat-Bulk. Energies are from PBE.

a = 4.828 Å, b = 4.828 Å, c = 11.583 Å
α = 90.00°, β = 90.00°, γ = 90.00°
Fractional coordinates of all 10 atoms:
Ba: 0.250 0.250 0.240
Ba: 0.750 0.750 0.760
Cd: 0.250 0.750 0.500
Cd: 0.750 0.250 0.500
Sn: 0.250 0.250 0.656
Sn: 0.250 0.750 0.000
Sn: 0.750 0.250 0.000
Sn: 0.750 0.750 0.344
Pt: 0.250 0.250 0.888
Pt: 0.750 0.750 0.112

Size of the total moment, μB/cell: 0.01
Final energy, eV per atom: -4.040
V, Å³/atom: 27.0


Here is TbAgTe2PbSe after structural relaxation from OQMD via LeMat-Bulk. Energies are from PBE.

a = 7.661 Å, b = 7.661 Å, c = 10.709 Å
α = 90.00°, β = 90.00°, γ = 146.98°
Fractional coordinates of all 12 atoms:
Tb: 0.000 0.000 0.000
Tb: 0.000 0.000 0.500
Ag: 0.476 0.524 0.750
Ag: 0.524 0.476 0.250
Te: 0.352 0.648 0.554
Te: 0.352 0.648 0.946
Te: 0.648 0.352 0.054
Te: 0.648 0.352 0.446
Pb: 0.255 0.745 0.250
Pb: 0.745 0.255 0.750
Se: 0.084 0.916 0.750
Se: 0.916 0.084 0.250

Size of the total moment, μB/cell: 0.01
Final energy, eV per atom: -4.292
V, Å³/atom: 28.5


Here is BaNd2 after structural relaxation from OQMD via LeMat-Bulk. Energies are from PBE.

a = 7.203 Å, b = 7.203 Å, c = 7.203 Å
α = 60.00°, β = 60.00°, γ = 60.00°
Fractional coordinates of all 6 atoms:
Ba: 0.125 0.125 0.125
Ba: 0.875 0.875 0.875
Nd: 0.000 0.500 0.500
Nd: 0.500 0.000 0.500
Nd: 0.500 0.500 0.000
Nd: 0.500 0.500 0.500

Size of the total moment, μB/cell: 0.03
E above lowest polymorph, kcal/mol of atoms: 0.000
V, Å³/atom: 44.0


Here is RbPrZnSe3 after structural relaxation from OQMD via LeMat-Bulk. Energies are from PBE.

a = 8.901 Å, b = 4.270 Å, c = 10.819 Å
α = 90.00°, β = 109.13°, γ = 90.00°
Fractional coordinates of all 12 atoms:
Rb: 0.240 0.250 0.212
Rb: 0.760 0.750 0.788
Pr: 0.189 0.750 0.636
Pr: 0.811 0.250 0.364
Zn: 0.423 0.250 0.893
Zn: 0.577 0.750 0.107
Se: 0.040 0.750 0.352
Se: 0.293 0.750 0.946
Se: 0.433 0.250 0.671
Se: 0.567 0.750 0.329
Se: 0.707 0.250 0.054
Se: 0.960 0.250 0.648

Size of the total moment, μB/cell: 0.00
Final energy, eV per atom: -4.274
V, Å³/atom: 32.4


Here is Er6TmNi2Te2 after structural relaxation from OQMD via LeMat-Bulk. Energies are from PBE.

a = 9.266 Å, b = 9.266 Å, c = 9.266 Å
α = 156.19°, β = 66.91°, γ = 118.51°
Fractional coordinates of all 11 atoms:
Er: 0.111 0.796 0.315
Er: 0.133 0.000 0.133
Er: 0.482 0.796 0.685
Er: 0.501 0.147 0.354
Er: 0.794 0.147 0.646
Er: 0.867 0.000 0.867
Tm: 0.417 0.417 0.000
Ni: 0.251 0.489 0.762
Ni: 0.727 0.489 0.238
Te: 0.152 0.652 0.500
Te: 0.754 0.754 0.000

Size of the total moment, μB/cell: 0.01
Final energy, eV per atom: -5.156
V, Å³/atom: 25.5